# 1
First-principles (GGA-PBE) data for a relaxed Ac2SmNi2 crystal, as listed in Alexandria via LeMat-Bulk.

The structure in POSCAR format:
```
Ac2SmNi2
1.0
2.256 -7.386 0.000
2.256 7.386 0.000
0.000 0.000 4.110
Ac Sm Ni
2 1 2
Direct
0.147 0.853 0.000
0.853 0.147 0.000
0.500 0.500 0.500
0.300 0.700 0.500
0.700 0.300 0.500
```

Output
Theoretical density (g cm⁻³): 8.75
Energy (eV for the cell shown): -25.45
DFT formation energy (eV/atom): -0.19
Space-group type: Cmmm (65)

=====

# 2
First-principles (GGA-PBE) data for a relaxed La4Sm2Hg crystal, as listed in Alexandria via LeMat-Bulk.

The structure in POSCAR format:
```
La4Sm2Hg
1.0
8.480 -1.822 0.000
8.480 1.822 0.000
-4.029 0.000 7.787
La Sm Hg
4 2 1
Direct
0.083 0.083 0.200
0.373 0.373 0.122
0.627 0.627 0.878
0.917 0.917 0.800
0.216 0.216 0.639
0.784 0.784 0.361
0.000 0.000 0.500
```

Output
Theoretical density (g cm⁻³): 7.29
Energy (eV for the cell shown): -29.64
DFT formation energy (eV/atom): -0.03
Space-group type: C2/m (12)

=====

Please write out number 1 again, unchanged.
First-principles (GGA-PBE) data for a relaxed Ac2SmNi2 crystal, as listed in Alexandria via LeMat-Bulk.

The structure in POSCAR format:
```
Ac2SmNi2
1.0
2.256 -7.386 0.000
2.256 7.386 0.000
0.000 0.000 4.110
Ac Sm Ni
2 1 2
Direct
0.147 0.853 0.000
0.853 0.147 0.000
0.500 0.500 0.500
0.300 0.700 0.500
0.700 0.300 0.500
```

Output
Theoretical density (g cm⁻³): 8.75
Energy (eV for the cell shown): -25.45
DFT formation energy (eV/atom): -0.19
Space-group type: Cmmm (65)

=====

Q: Look up the DFT formation energy of the first one.
A: -0.19 eV/atom

=====

Q: Which of these has the lowest theoretical density?
A: La4Sm2Hg

=====

Please write out number 2 again, unchanged.
First-principles (GGA-PBE) data for a relaxed La4Sm2Hg crystal, as listed in Alexandria via LeMat-Bulk.

The structure in POSCAR format:
```
La4Sm2Hg
1.0
8.480 -1.822 0.000
8.480 1.822 0.000
-4.029 0.000 7.787
La Sm Hg
4 2 1
Direct
0.083 0.083 0.200
0.373 0.373 0.122
0.627 0.627 0.878
0.917 0.917 0.800
0.216 0.216 0.639
0.784 0.784 0.361
0.000 0.000 0.500
```

Output
Theoretical density (g cm⁻³): 7.29
Energy (eV for the cell shown): -29.64
DFT formation energy (eV/atom): -0.03
Space-group type: C2/m (12)